PBE YRu2, relaxed; V = 107 Å³/cell; E_form = 0.20 eV/atom; symmetry = No. 12
1.0
5.164 -1.559 0.000
5.164 1.559 0.000
-2.638 0.000 6.655
Y Ru
2 4
Cartesian
1.333 0.000 0.602
6.357 0.000 6.053
0.324 0.000 3.916
3.330 0.000 4.569
4.360 0.000 2.086
7.366 0.000 2.739


PBE YRu2, relaxed; V = 54 Å³/cell; E_form = 0.51 eV/atom; symmetry = No. 164
1.0
3.055 0.000 0.000
-1.528 2.646 0.000
0.000 0.000 6.735
Y Ru
1 2
Cartesian
0.000 0.000 0.000
0.000 1.764 4.343
1.528 0.882 2.392


PBE Y3Ru, relaxed; V = 420 Å³/cell; E_form = -0.24 eV/atom; symmetry = No. 82
1.0
-5.847 5.847 3.070
5.847 -5.847 3.070
5.847 5.847 -3.070
Y Ru
12 4
Cartesian
6.971 1.128 0.059
5.844 4.187 -1.535
3.476 -2.376 2.779
3.472 2.372 0.292
0.003 1.660 1.535
1.128 4.724 -0.059
4.720 1.123 3.011
2.372 8.223 -0.292
4.187 5.850 1.535
1.660 -0.003 4.606
2.376 3.476 3.362
-1.123 4.720 3.129
2.474 -0.005 1.533
3.373 5.853 -1.538
5.842 3.373 1.538
0.005 2.474 4.608